Entry from Alexandria via LeMat-Bulk: a relaxed structure of MnAsRu2 (PBE).

a b c (Å): 2.913 4.269 4.560
angles (deg): 90.00 90.00 90.00
Space group Pmmm (No. 47)
One atom of each set of equivalent atoms:
Mn (0.000, 0.000, 0.000)
As (0.500, 0.000, 0.500)
Ru (0.000, 0.500, 0.500)
Ru (0.500, 0.500, 0.000)

Calculated values
For the magnetization, the calculation gives 0.693 μB/atom. The total energy comes out at -31.6 eV for the cell shown. The crystal system is orthorhombic.